Entry 1:
Tb3Te2Ir | PBE | optimized geometry

Output
offset from the most stable computed form = 148 meV per atom
E_form (uncorrected) = -1032 meV per atom

Cell: 4.188 6.039 7.951 Å, 112.32 90.00 90.00°
Atoms (fractional coordinates):
Tb 0.000 0.500 0.000
Tb 0.500 0.877 0.754
Tb 0.500 0.123 0.246
Te 0.500 0.660 0.320
Te 0.500 0.340 0.680
Ir 0.000 0.000 0.000


Entry 2:
Cs3Sr | PBE | optimized geometry

Output
offset from the most stable computed form = 3 meV per atom
energy relative to the elements = 0.1335 eV per atom

Cell: 7.451 7.451 8.500 Å, 116.00 116.00 90.00°
Atoms (fractional coordinates):
Cs 0.500 0.500 0.000
Cs 0.750 0.250 0.500
Cs 0.250 0.750 0.500
Sr 0.000 0.000 0.000